1.
Below is a relaxed structure of Pm2Nd4Tm7, with properties calculated at the PBE level.

Results
Formation energy from the elements   1.76 eV per formula unit
Calculated volume   428 Å³/cell

Cell: 5.9559 8.8569 9.0667 Å, 66.59 78.22 80.84°
With the nearest neighbours (Å) after each atom.
Space group P-1 (No. 2)
Symmetry-distinct sites (fractional):
Pm: 0.2271 0.1063 0.4682 (multiplicity 2)  1 Nd 3.30, 2 Pm 3.36-3.52, 6 Tm 3.43-3.63
Nd: 0.2345 0.2477 0.8717 (multiplicity 2)  9 Tm 3.37-3.74, 1 Nd 3.48
Nd: 0.3653 0.6462 0.6140 (multiplicity 2)  4 Tm 3.22-3.54, 1 Pm 3.30, 1 Nd 3.48
Tm: 0.0000 0.5000 0.5000 (multiplicity 1)  2 Nd 3.22, 4 Tm 3.51-3.53
Tm: 0.2109 0.8788 0.2244 (multiplicity 2)  4 Tm 3.32-3.68, 4 Nd 3.37-3.55, 2 Pm 3.44-3.56
Tm: 0.2286 0.4710 0.1226 (multiplicity 2)  5 Tm 3.39-3.71, 3 Nd 3.42-3.55, 1 Pm 3.49
Tm: 0.3199 0.8613 0.8573 (multiplicity 2)  5 Tm 3.32-3.68, 3 Nd 3.39-3.70, 2 Pm 3.43-3.52

---

2.
Below is a relaxed structure of Pm5Nd6Tm2, with properties calculated at the PBE level.

Results
Formation energy from the elements   1.21 eV per formula unit
Calculated volume   900 Å³/cell

Cell: 11.7828 20.9453 3.6453 Å, 90.00 90.00 90.00°
With the nearest neighbours (Å) after each atom.
Space group Pbam (No. 55)
Symmetry-distinct sites (fractional):
Pm: 0.0000 0.0000 0.0000 (multiplicity 2)  6 Nd 3.45-3.56, 4 Pm 3.65-3.75
Pm: 0.0878 0.2725 0.0000 (multiplicity 4)  5 Nd 3.37-3.58, 4 Tm 3.55-3.65, 2 Pm 3.65
Pm: 0.1969 0.5549 0.0000 (multiplicity 4)  6 Nd 3.55-3.73, 3 Pm 3.65-3.75, 2 Tm 3.73
Nd: 0.0629 0.4189 0.5000 (multiplicity 4)  6 Pm 3.58-3.73, 5 Nd 3.65-3.81, 1 Tm 3.83
Nd: 0.0835 0.1316 0.5000 (multiplicity 4)  1 Tm 3.35, 6 Pm 3.45-3.55, 4 Nd 3.53-3.65
Nd: 0.1732 0.8605 0.0000 (multiplicity 4)  2 Pm 3.37-3.56, 4 Nd 3.53-3.65, 2 Tm 3.65
Tm: 0.1686 0.7096 0.5000 (multiplicity 4)  3 Nd 3.35-3.65, 6 Pm 3.55-3.73, 2 Tm 3.65

---

3.
Below is a relaxed structure of PmNd8Tm5, with properties calculated at the PBE level.

Results
Formation energy from the elements   3.38 eV per formula unit
Calculated volume   963 Å³/cell

Cell: 9.6398 9.6398 10.3623 Å, 90.00 90.00 90.00°
With the nearest neighbours (Å) after each atom.
Space group I-4 (No. 82)
Symmetry-distinct sites (fractional):
Pm: 0.0000 0.0000 0.0000 (multiplicity 2)  4 Nd 3.23
Nd: 0.0687 0.8271 0.6516 (multiplicity 8)  5 Tm 3.38-3.63, 3 Nd 3.59-3.65
Nd: 0.0906 0.6777 0.9981 (multiplicity 8)  4 Tm 3.21-3.51, 1 Pm 3.23
Tm: 0.0000 0.5000 0.7500 (multiplicity 2)  8 Nd 3.21-3.38
Tm: 0.1099 0.7025 0.3230 (multiplicity 8)  8 Nd 3.38-3.63, 2 Tm 3.49

---

4.
Below is a relaxed structure of Pm6Nd2Tm3, with properties calculated at the PBE level.

Results
Polymorph energy (0 for the lowest one)   208 meV/atom
Formation energy from the elements   3.14 eV per formula unit
Calculated volume   776 Å³/cell

Cell: 4.7873 4.7873 33.8717 Å, 90.00 90.00 90.00°
With the nearest neighbours (Å) after each atom.
Space group I4/mmm (No. 139)
Symmetry-distinct sites (fractional):
Pm: 0.0000 0.0000 0.1999 (multiplicity 4)  5 Tm 3.39-3.43, 4 Pm 3.56
Pm: 0.0000 0.5000 0.1222 (multiplicity 8)  6 Pm 3.39-3.56, 2 Tm 3.53, 2 Nd 3.53
Nd: 0.0000 0.0000 0.0455 (multiplicity 4)  1 Nd 3.08
Tm: 0.0000 0.0000 0.3013 (multiplicity 4)  9 Pm 3.39-3.53
Tm: 0.0000 0.0000 0.5000 (multiplicity 2)  8 Nd 3.72